1.
Below is crystalline KBaNbTe2 at its relaxed geometry, with properties calculated at the PBE level.

Cell lengths 6.405, 6.405, 6.159 Å; angles 90.00, 90.00, 90.00 degrees
Positions (direct):
K: 0.000 0.000 0.000
Ba: 0.000 0.000 0.500
Nb: 0.500 0.500 0.000
Te: 0.000 0.500 0.500
Te: 0.500 0.000 0.500

Values from the calculation:
The formation energy from raw total energies comes out at 0.853 eV per atom. Its total magnetization is 4.0 Bohr magnetons per cell. The total energy is -3.02 eV/atom. For the density of states at the Fermi level, the calculation gives 4.01 states/eV per cell. As for the space group: No. 123.

2.
Below is crystalline KBa2NbV at its relaxed geometry, with properties calculated at the PBE level.

Cell lengths 6.623, 6.623, 4.648 Å; angles 90.00, 90.00, 90.00 degrees
Positions (direct):
K: 0.000 0.000 0.000
Ba: 0.000 0.500 0.500
Ba: 0.500 0.000 0.500
Nb: 0.500 0.500 0.000
V: 0.500 0.500 0.500

Values from the calculation:
Its total magnetization is 0.9 Bohr magnetons per cell. The total energy is -3.95 eV/atom. As for the energy of formation: 0.875 eV/atom. For the density of states at the Fermi level, the calculation gives 7.94 states/eV per cell. As for the space group: No. 123.

3.
Below is crystalline KBaNd at its relaxed geometry, with properties calculated at the PBE level.

Cell lengths 4.098, 4.098, 19.065 Å; angles 90.00, 90.00, 90.00 degrees
Positions (direct):
K: 0.250 0.250 0.100
K: 0.750 0.750 0.900
Ba: 0.250 0.250 0.704
Ba: 0.750 0.750 0.296
Nd: 0.250 0.250 0.444
Nd: 0.750 0.750 0.556

Values from the calculation:
Its total magnetization is 0.0 Bohr magnetons per cell. The total energy is -2.48 eV/atom. As for the energy of formation: 0.112 eV/atom. For the density of states at the Fermi level, the calculation gives 8.26 states/eV per cell. As for the space group: No. 129.

4.
Below is crystalline KBa2Nd at its relaxed geometry, with properties calculated at the PBE level.

Cell lengths 15.392, 15.392, 15.392 Å; angles 14.99, 14.99, 14.99 degrees
Positions (direct):
K: 0.000 0.000 0.000
Ba: 0.420 0.420 0.420
Ba: 0.580 0.580 0.580
Nd: 0.500 0.500 0.500

Values from the calculation:
Its excess energy over the best structure of this formula in the dataset is 177 meV per atom. Its total magnetization is 0.8 Bohr magnetons per cell. The total energy is -2.08 eV/atom. As for the energy of formation: 0.348 eV/atom. For the density of states at the Fermi level, the calculation gives 6.31 states/eV per cell. As for the space group: No. 166.

5.
Below is crystalline KBa2Nd at its relaxed geometry, with properties calculated at the PBE level.

Cell lengths 4.125, 4.125, 12.915 Å; angles 90.00, 90.00, 90.00 degrees
Positions (direct):
K: 0.000 0.000 0.000
Ba: 0.500 0.500 0.286
Ba: 0.500 0.500 0.714
Nd: 0.000 0.000 0.500

Values from the calculation:
Its excess energy over the best structure of this formula in the dataset is 0 meV per atom. Its total magnetization is 0.0 Bohr magnetons per cell. The total energy is -2.26 eV/atom. As for the energy of formation: 0.171 eV/atom. For the density of states at the Fermi level, the calculation gives 8.01 states/eV per cell. As for the space group: No. 123.

6.
Below is crystalline KBa2NdTe4 at its relaxed geometry, with properties calculated at the PBE level.

Cell lengths 8.320, 4.846, 8.497 Å; angles 90.00, 108.68, 90.00 degrees
Positions (direct):
K: 0.000 0.000 0.000
Ba: 0.500 0.000 0.500
Ba: 0.500 0.500 0.000
Nd: 0.000 0.500 0.500
Te: 0.227 0.000 0.729
Te: 0.237 0.500 0.266
Te: 0.763 0.500 0.734
Te: 0.773 0.000 0.271

Values from the calculation:
The formation energy from raw total energies comes out at -1.539 eV per atom. Its total magnetization is 0.0 Bohr magnetons per cell. The total energy is -4.32 eV/atom. As for the space group: No. 10.

7.
Below is crystalline K3BaNi at its relaxed geometry, with properties calculated at the PBE level.

Cell lengths 6.425, 6.425, 6.425 Å; angles 90.00, 90.00, 90.00 degrees
Positions (direct):
K: 0.000 0.000 0.500
K: 0.000 0.500 0.000
K: 0.500 0.000 0.000
Ba: 0.500 0.500 0.500
Ni: 0.000 0.000 0.000

Values from the calculation:
Its total magnetization is 0.0 Bohr magnetons per cell. The total energy is -1.67 eV/atom. As for the energy of formation: 0.528 eV/atom. For the density of states at the Fermi level, the calculation gives 8.97 states/eV per cell. As for the space group: No. 221.

8.
Below is crystalline KBaNi3 at its relaxed geometry, with properties calculated at the PBE level.

Cell lengths 5.289, 5.289, 5.289 Å; angles 90.00, 90.00, 90.00 degrees
Positions (direct):
K: 0.000 0.000 0.000
Ba: 0.500 0.500 0.500
Ni: 0.000 0.500 0.500
Ni: 0.500 0.000 0.500
Ni: 0.500 0.500 0.000

Values from the calculation:
Its excess energy over the best structure of this formula in the dataset is 48 meV per atom. Its total magnetization is 0.0 Bohr magnetons per cell. The total energy is -2.63 eV/atom. As for the energy of formation: 1.443 eV/atom. For the density of states at the Fermi level, the calculation gives 17.43 states/eV per cell. As for the space group: No. 221.

9.
Below is crystalline KBa2Ni2 at its relaxed geometry, with properties calculated at the PBE level.

Cell lengths 8.687, 8.687, 4.523 Å; angles 90.00, 90.00, 90.00 degrees
Positions (direct):
K: 0.000 0.000 0.000
K: 0.500 0.500 0.000
Ba: 0.162 0.338 0.500
Ba: 0.338 0.838 0.500
Ba: 0.662 0.162 0.500
Ba: 0.838 0.662 0.500
Ni: 0.094 0.594 0.000
Ni: 0.406 0.094 0.000
Ni: 0.594 0.906 0.000
Ni: 0.906 0.406 0.000

Values from the calculation:
Its total magnetization is 0.5 Bohr magnetons per cell. The total energy is -3.08 eV/atom. As for the energy of formation: 0.219 eV/atom. For the density of states at the Fermi level, the calculation gives 9.71 states/eV per cell. As for the space group: No. 127.

10.
Below is crystalline KBaNi2 at its relaxed geometry, with properties calculated at the PBE level.

Cell lengths 4.322, 6.064, 6.064 Å; angles 47.05, 90.00, 90.00 degrees
Positions (direct):
K: 0.000 0.000 0.000
Ba: 0.500 0.709 0.709
Ni: 0.000 0.313 0.313
Ni: 0.500 0.377 0.377

Values from the calculation:
Its excess energy over the best structure of this formula in the dataset is 90 meV per atom. Its total magnetization is 0.3 Bohr magnetons per cell. The total energy is -3.36 eV/atom. As for the energy of formation: 0.281 eV/atom. For the density of states at the Fermi level, the calculation gives 3.45 states/eV per cell. As for the space group: No. 38.

11.
Below is crystalline KBaNi2 at its relaxed geometry, with properties calculated at the PBE level.

Cell lengths 5.120, 5.120, 4.080 Å; angles 90.08, 90.08, 97.25 degrees
Positions (direct):
K: 0.000 0.000 0.000
Ba: 0.500 0.500 0.000
Ni: 0.000 0.500 0.500
Ni: 0.500 0.000 0.500

Values from the calculation:
Its excess energy over the best structure of this formula in the dataset is 472 meV per atom. Its total magnetization is 0.4 Bohr magnetons per cell. The total energy is -2.98 eV/atom. As for the energy of formation: 0.663 eV/atom. For the density of states at the Fermi level, the calculation gives 6.65 states/eV per cell. As for the space group: No. 12.

12.
Below is crystalline KBaNi2 at its relaxed geometry, with properties calculated at the PBE level.

Cell lengths 5.173, 5.173, 5.173 Å; angles 120.23, 120.23, 89.61 degrees
Positions (direct):
K: 0.000 0.000 0.000
Ba: 0.750 0.250 0.500
Ni: 0.250 0.750 0.500
Ni: 0.500 0.500 0.000

Values from the calculation:
Its excess energy over the best structure of this formula in the dataset is 507 meV per atom. Its total magnetization is 0.6 Bohr magnetons per cell. The total energy is -2.95 eV/atom. As for the energy of formation: 0.698 eV/atom. For the density of states at the Fermi level, the calculation gives 9.31 states/eV per cell. As for the space group: No. 119.